Computed, not measured: an optimized crystal structure of BeTlGaCl4 at the PBE-GGA level of DFT.

Cell: 6.612 6.885 9.064 Å, 90.00 110.24 90.00°
Atoms (fractional coordinates):
Be (0.209, 0.250, 0.295)
Be (0.791, 0.750, 0.705)
Tl (0.291, 0.750, 0.078)
Tl (0.709, 0.250, 0.922)
Ga (0.226, 0.750, 0.534)
Ga (0.774, 0.250, 0.466)
Cl (0.016, 0.012, 0.237)
Cl (0.016, 0.488, 0.237)
Cl (0.379, 0.250, 0.530)
Cl (0.416, 0.250, 0.172)
Cl (0.584, 0.750, 0.828)
Cl (0.621, 0.750, 0.470)
Cl (0.984, 0.512, 0.763)
Cl (0.984, 0.988, 0.763)

Values from the calculation:
Raw total energy   -3.49 eV per atom
Formation energy from raw total energies   -1.131 eV per atom
Spin magnetization   0.00 μB per formula unit